a.
DFT (PBE) results for a geometry-optimized Li2SeCl structure.

abc: 7.4860 6.9283 3.0896
angles: 90.00 111.66 90.00
Closest atoms and distances in Å follow each position.
Atoms (fractional coordinates):
Li  0.2500  0.2500  0.0000  2 Cl 2.60, 2 Se 2.60
Li  0.2500  0.7500  0.0000  2 Cl 2.60, 2 Se 2.60
Li  0.7500  0.2500  0.0000  2 Cl 2.60, 2 Se 2.60
Li  0.7500  0.7500  0.0000  2 Cl 2.60, 2 Se 2.60
Se  0.0000  0.0000  0.5000  4 Li 2.60
Se  0.5000  0.5000  0.5000  4 Li 2.60
Cl  0.0000  0.5000  0.5000  4 Li 2.60
Cl  0.5000  0.0000  0.5000  4 Li 2.60

## Properties
Its density of states at the Fermi level is 0.42 states/eV per atom. The space-group type is C2/m.


b.
DFT (PBE) results for a geometry-optimized Li2SeCl structure.

abc: 6.8819 6.8819 6.8819
angles: 90.00 90.00 90.00
Closest atoms and distances in Å follow each position.
Atoms (fractional coordinates):
Li  0.0000  0.0000  0.0000  4 Cl 2.98, 4 Li 2.98
Li  0.0000  0.5000  0.5000  4 Cl 2.98, 4 Li 2.98
Li  0.2500  0.2500  0.2500  4 Se 2.98, 4 Li 2.98
Li  0.2500  0.7500  0.7500  4 Se 2.98, 4 Li 2.98
Li  0.5000  0.0000  0.5000  4 Cl 2.98, 4 Li 2.98
Li  0.5000  0.5000  0.0000  4 Cl 2.98, 4 Li 2.98
Li  0.7500  0.2500  0.7500  4 Se 2.98, 4 Li 2.98
Li  0.7500  0.7500  0.2500  4 Se 2.98, 4 Li 2.98
Se  0.0000  0.0000  0.5000  4 Li 2.98, 4 Cl 2.98
Se  0.0000  0.5000  0.0000  4 Li 2.98, 4 Cl 2.98
Se  0.5000  0.0000  0.0000  4 Li 2.98, 4 Cl 2.98
Se  0.5000  0.5000  0.5000  4 Li 2.98, 4 Cl 2.98
Cl  0.2500  0.2500  0.7500  4 Se 2.98, 4 Li 2.98
Cl  0.2500  0.7500  0.2500  4 Se 2.98, 4 Li 2.98
Cl  0.7500  0.2500  0.2500  4 Se 2.98, 4 Li 2.98
Cl  0.7500  0.7500  0.7500  4 Li 2.98, 4 Se 2.98

## Properties
Its density of states at the Fermi level is 0.96 states/eV per atom. The space-group type is F-43m.


c.
DFT (PBE) results for a geometry-optimized Li2SeCl structure.

abc: 3.2084 3.2867 13.8032
angles: 90.00 90.00 90.00
Closest atoms and distances in Å follow each position.
Atoms (fractional coordinates):
Li  0.0000  0.0000  0.0000  4 Cl 2.56, 2 Se 2.81
Li  0.0000  0.5000  0.2226  2 Cl 2.52, 4 Se 2.77
Li  0.5000  0.0000  0.7226  2 Cl 2.52, 4 Se 2.77
Li  0.5000  0.5000  0.5000  4 Cl 2.56, 2 Se 2.81
Se  0.0000  0.5000  0.8350  6 Li 2.77-2.81
Se  0.5000  0.0000  0.3350  6 Li 2.77-2.81
Cl  0.0000  0.0000  0.5815  6 Li 2.52-2.56
Cl  0.5000  0.5000  0.0815  6 Li 2.52-2.56

## Properties
Its density of states at the Fermi level is 0.17 states/eV per atom. The space-group type is Imm2.


It is c that is most stable; the runner-up trails by 124 meV per atom.


a.
DFT (PBE) results for a geometry-optimized LiSeCl structure.

abc: 4.5192 4.5192 3.3424
angles: 90.00 90.00 120.00
Closest atoms and distances in Å follow each position.
Atoms (fractional coordinates):
Li  0.0000  0.0000  0.0000  3 Cl 2.61
Se  0.6667  0.3333  0.4942  6 Li 3.09-3.11, 6 Cl 3.10, 2 Se 3.34
Cl  0.3333  0.6667  0.9940  3 Li 2.61

## Properties
Its density of states at the Fermi level is 0.80 states/eV per atom. The space-group type is P3m1.


b.
DFT (PBE) results for a geometry-optimized LiSeCl structure.

abc: 6.3158 6.3158 6.3158
angles: 90.00 90.00 90.00
Closest atoms and distances in Å follow each position.
Atoms (fractional coordinates):
Li  0.0000  0.0000  0.0000  4 Cl 2.73, 4 Se 2.73
Li  0.0000  0.5000  0.5000  4 Cl 2.73, 4 Se 2.73
Li  0.5000  0.0000  0.5000  4 Cl 2.73, 4 Se 2.73
Li  0.5000  0.5000  0.0000  4 Cl 2.73, 4 Se 2.73
Se  0.2500  0.2500  0.2500  4 Li 2.73
Se  0.2500  0.7500  0.7500  4 Li 2.73
Se  0.7500  0.2500  0.7500  4 Li 2.73
Se  0.7500  0.7500  0.2500  4 Li 2.73
Cl  0.2500  0.2500  0.7500  4 Li 2.73
Cl  0.2500  0.7500  0.2500  4 Li 2.73
Cl  0.7500  0.2500  0.2500  4 Li 2.73
Cl  0.7500  0.7500  0.7500  4 Li 2.73

## Properties
Its density of states at the Fermi level is 0.97 states/eV per atom. The space-group type is F-43m.


It is b that is most stable; the runner-up trails by 19 meV per atom.


a.
DFT (PBE) results for a geometry-optimized LiSeCl structure.

abc: 3.8923 3.8923 10.2053
angles: 90.00 90.00 90.00
Closest atoms and distances in Å follow each position.
Atoms (fractional coordinates):
Li  0.0000  0.0000  0.0000  4 Se 2.75, 1 Cl 2.78
Li  0.5000  0.5000  0.5000  4 Se 2.75, 1 Cl 2.78
Se  0.0000  0.0000  0.5078  1 Cl 2.24
Se  0.5000  0.5000  0.0078  1 Cl 2.24
Cl  0.0000  0.0000  0.7277  1 Se 2.24
Cl  0.5000  0.5000  0.2277  1 Se 2.24

## Properties
Its density of states at the Fermi level is 0.20 states/eV per atom. The space-group type is I4mm.


b.
DFT (PBE) results for a geometry-optimized LiSeCl structure.

abc: 3.1060 3.1060 7.8317
angles: 90.00 90.00 120.00
Closest atoms and distances in Å follow each position.
Atoms (fractional coordinates):
Li  0.0000  0.0000  0.0000  3 Cl 2.31
Se  0.6667  0.3333  0.2899  3 Li 2.89, 6 Se 3.11
Cl  0.3333  0.6667  0.8134  3 Li 2.31

## Properties
Its density of states at the Fermi level is 0.67 states/eV per atom. The space-group type is P3m1.


It is a that is most stable; the runner-up trails by 23 meV per atom.


a.
DFT (PBE) results for a geometry-optimized LiSeCl structure.

abc: 6.9280 6.9280 6.9280
angles: 90.00 90.00 90.00
Closest atoms and distances in Å follow each position.
Atoms (fractional coordinates):
Li  0.0000  0.0000  0.0000  4 Cl 3.00
Li  0.0000  0.5000  0.5000  4 Cl 3.00
Li  0.5000  0.0000  0.5000  4 Cl 3.00
Li  0.5000  0.5000  0.0000  4 Cl 3.00
Se  0.0000  0.0000  0.5000  4 Cl 3.00
Se  0.0000  0.5000  0.0000  4 Cl 3.00
Se  0.5000  0.0000  0.0000  4 Cl 3.00
Se  0.5000  0.5000  0.5000  4 Cl 3.00
Cl  0.2500  0.2500  0.7500  4 Li 3.00, 4 Se 3.00
Cl  0.2500  0.7500  0.2500  4 Li 3.00, 4 Se 3.00
Cl  0.7500  0.2500  0.2500  4 Li 3.00, 4 Se 3.00
Cl  0.7500  0.7500  0.7500  4 Li 3.00, 4 Se 3.00

## Properties
Its density of states at the Fermi level is 0.60 states/eV per atom. The space-group type is F-43m.


b.
DFT (PBE) results for a geometry-optimized LiSeCl structure.

abc: 7.0848 3.8199 10.6120
angles: 90.00 96.68 90.00
Closest atoms and distances in Å follow each position.
Atoms (fractional coordinates):
Li  0.0000  0.0000  0.0000  3 Cl 2.36
Li  0.1322  0.5000  0.7005  4 Cl 2.35-2.56
Li  0.5000  0.5000  0.0000  3 Cl 2.36
Li  0.6322  0.0000  0.7005  4 Cl 2.35-2.56
Se  0.2528  0.0000  0.2348  2 Se 2.42
Se  0.2700  0.5000  0.3753  2 Se 2.42
Se  0.7528  0.5000  0.2348  2 Se 2.42
Se  0.7700  0.0000  0.3753  2 Se 2.42
Cl  0.1675  0.5000  0.9437  4 Li 2.36-2.56
Cl  0.3000  0.0000  0.6468  3 Li 2.35-2.36
Cl  0.6675  0.0000  0.9437  4 Li 2.36-2.56
Cl  0.8000  0.5000  0.6468  3 Li 2.35-2.36

## Properties
Its density of states at the Fermi level is 0.11 states/eV per atom. The space-group type is Cm.


c.
DFT (PBE) results for a geometry-optimized LiSeCl structure.

abc: 3.5165 3.9017 11.3418
angles: 90.00 96.60 90.00
Closest atoms and distances in Å follow each position.
Atoms (fractional coordinates):
Li  0.2153  0.2500  0.4030  5 Cl 2.43-2.64
Li  0.7847  0.7500  0.5970  5 Cl 2.43-2.64
Se  0.4773  0.7500  0.9413  2 Se 2.36
Se  0.5227  0.2500  0.0587  2 Se 2.36
Cl  0.2942  0.2500  0.6187  5 Li 2.43-2.64
Cl  0.7058  0.7500  0.3813  5 Li 2.43-2.64

## Properties
Its density of states at the Fermi level is 0.16 states/eV per atom. The space-group type is P2_1/m.


It is c that is most stable; the runner-up trails by 19 meV per atom.


a.
DFT (PBE) results for a geometry-optimized LiSeCl structure.

abc: 3.6025 3.6032 10.5148
angles: 88.03 88.02 89.83
Closest atoms and distances in Å follow each position.
Atoms (fractional coordinates):
Li  0.0000  0.0000  0.0000  5 Cl 2.47-2.56
Li  0.4783  0.4786  0.2123  5 Cl 2.47-2.56
Se  0.0148  0.0098  0.6420  3 Se 2.42-2.67
Se  0.4703  0.4651  0.5677  3 Se 2.42-2.67
Cl  0.5023  0.5021  0.9770  5 Li 2.47-2.56
Cl  0.9763  0.9764  0.2353  5 Li 2.47-2.56

## Properties
The space-group type is P1.


b.
DFT (PBE) results for a geometry-optimized LiSeCl structure.

abc: 12.0259 3.6625 7.7641
angles: 90.00 123.99 90.00
Closest atoms and distances in Å follow each position.
Atoms (fractional coordinates):
Li  0.1906  0.0000  0.0901  3 Cl 2.34-2.40
Li  0.3094  0.5000  0.9099  3 Cl 2.34-2.40
Li  0.6906  0.5000  0.0901  3 Cl 2.34-2.40
Li  0.8094  0.0000  0.9099  3 Cl 2.34-2.40
Se  0.1658  0.0000  0.4135  2 Se 2.49, 1 Li 2.69
Se  0.3342  0.5000  0.5865  2 Se 2.49, 1 Li 2.69
Se  0.6658  0.5000  0.4135  2 Se 2.49, 1 Li 2.69
Se  0.8342  0.0000  0.5865  2 Se 2.49, 1 Li 2.69
Cl  0.0948  0.5000  0.8642  3 Li 2.34-2.40
Cl  0.4052  0.0000  0.1358  3 Li 2.34-2.40
Cl  0.5948  0.0000  0.8642  3 Li 2.34-2.40
Cl  0.9052  0.5000  0.1358  3 Li 2.34-2.40

## Properties
Its density of states at the Fermi level is 0.01 states/eV per atom. The space-group type is C2/m.


It is a that is most stable; the runner-up trails by 91 meV per atom.


a.
DFT (PBE) results for a geometry-optimized LiSeCl4 structure.

abc: 7.0286 7.0518 8.8761
angles: 90.00 90.00 90.00
Closest atoms and distances in Å follow each position.
Atoms (fractional coordinates):
Li  0.0000  0.0000  0.0000  4 Cl 2.45
Li  0.0000  0.5000  0.5000  4 Cl 2.46
Se  0.0000  0.0000  0.5000  4 Cl 2.39
Se  0.5000  0.0000  0.0000  4 Cl 2.39
Cl  0.2363  0.2430  0.4928  1 Se 2.39, 1 Li 2.46
Cl  0.2363  0.7570  0.5072  1 Se 2.39, 1 Li 2.46
Cl  0.2560  0.2354  0.9930  1 Se 2.39, 1 Li 2.45
Cl  0.2560  0.7646  0.0070  1 Se 2.39, 1 Li 2.45
Cl  0.7440  0.2354  0.0070  1 Se 2.39, 1 Li 2.45
Cl  0.7440  0.7646  0.9930  1 Se 2.39, 1 Li 2.45
Cl  0.7637  0.2430  0.5072  1 Se 2.39, 1 Li 2.46
Cl  0.7637  0.7570  0.4928  1 Se 2.39, 1 Li 2.46

## Properties
The space-group type is P222.


b.
DFT (PBE) results for a geometry-optimized LiSeCl4 structure.

abc: 6.0750 15.3349 10.8734
angles: 90.00 118.73 90.00
Closest atoms and distances in Å follow each position.
Atoms (fractional coordinates):
Li  0.2357  0.0128  0.4815  4 Cl 2.38-2.40
Li  0.2357  0.4872  0.9815  4 Cl 2.38-2.40
Li  0.7643  0.5128  0.0185  4 Cl 2.38-2.40
Li  0.7643  0.9872  0.5185  4 Cl 2.38-2.40
Se  0.4756  0.6294  0.2763  2 Cl 2.22-2.23
Se  0.4756  0.8706  0.7763  2 Cl 2.22-2.23
Se  0.5244  0.1294  0.2237  2 Cl 2.22-2.23
Se  0.5244  0.3706  0.7237  2 Cl 2.22-2.23
Cl  0.0677  0.6157  0.0317  2 Li 2.38-2.40, 1 Se 2.63
Cl  0.0677  0.8843  0.5317  2 Li 2.38-2.40, 1 Se 2.63
Cl  0.1931  0.1153  0.0126  1 Se 2.22
Cl  0.1931  0.3847  0.5126  1 Se 2.22
Cl  0.2878  0.7309  0.3398  1 Se 2.23
Cl  0.2878  0.7691  0.8398  1 Se 2.23
Cl  0.3681  0.5061  0.8096  2 Li 2.38-2.39, 1 Se 2.63
Cl  0.3681  0.9939  0.3096  2 Li 2.38-2.39, 1 Se 2.63
Cl  0.6319  0.0061  0.6904  2 Li 2.38-2.39, 1 Se 2.63
Cl  0.6319  0.4939  0.1904  2 Li 2.38-2.39, 1 Se 2.63
Cl  0.7122  0.2309  0.1602  1 Se 2.23
Cl  0.7122  0.2691  0.6602  1 Se 2.23
Cl  0.8069  0.6153  0.4874  1 Se 2.22
Cl  0.8069  0.8847  0.9874  1 Se 2.22
Cl  0.9323  0.1157  0.4683  2 Li 2.38-2.40, 1 Se 2.63
Cl  0.9323  0.3843  0.9683  2 Li 2.38-2.40, 1 Se 2.63

## Properties
The space-group type is P2_1/c.


c.
DFT (PBE) results for a geometry-optimized LiSeCl4 structure.

abc: 6.0943 6.0943 6.0943
angles: 60.00 60.00 60.00
Closest atoms and distances in Å follow each position.
Atoms (fractional coordinates):
Li  0.0000  0.0000  0.0000  12 Cl 3.57, 4 Se 3.73
Se  0.7500  0.7500  0.7500  12 Cl 3.57, 4 Li 3.73
Cl  0.3748  0.3748  0.3748  6 Cl 3.04-3.05
Cl  0.3748  0.3748  0.8756  6 Cl 3.04-3.05
Cl  0.3748  0.8756  0.3748  6 Cl 3.04-3.05
Cl  0.8756  0.3748  0.3748  6 Cl 3.04-3.05

## Properties
Its density of states at the Fermi level is 1.01 states/eV per atom. The space-group type is F-43m.


It is b that is most stable; the runner-up trails by 26 meV per atom.


a.
DFT (PBE) results for a geometry-optimized LiSe3Cl structure.

abc: 5.0633 5.0633 5.0633
angles: 90.00 90.00 90.00
Closest atoms and distances in Å follow each position.
Atoms (fractional coordinates):
Li  0.0000  0.0000  0.0000  12 Se 3.58
Se  0.0000  0.5000  0.5000  2 Cl 2.53
Se  0.5000  0.0000  0.5000  2 Cl 2.53
Se  0.5000  0.5000  0.0000  2 Cl 2.53
Cl  0.5000  0.5000  0.5000  6 Se 2.53

## Properties
Its density of states at the Fermi level is 0.72 states/eV per atom. The space-group type is Pm-3m.


b.
DFT (PBE) results for a geometry-optimized LiSe3Cl structure.

abc: 4.7206 4.7206 4.7206
angles: 90.00 90.00 90.00
Closest atoms and distances in Å follow each position.
Atoms (fractional coordinates):
Li  0.0000  0.0000  0.0000  6 Se 2.36
Se  0.0000  0.0000  0.5000  2 Li 2.36
Se  0.0000  0.5000  0.0000  2 Li 2.36
Se  0.5000  0.0000  0.0000  2 Li 2.36
Cl  0.5000  0.5000  0.5000  12 Se 3.34

## Properties
Its density of states at the Fermi level is 1.25 states/eV per atom. The space-group type is Pm-3m.


It is b that is most stable; the runner-up trails by 50 meV per atom.


a.
DFT (PBE) results for a geometry-optimized LiSiCl2 structure.

abc: 3.5310 3.5772 17.3210
angles: 90.00 90.00 90.00
Closest atoms and distances in Å follow each position.
Atoms (fractional coordinates):
Li  0.0000  0.0000  0.0000  4 Cl 2.51
Li  0.5000  0.5000  0.5000  4 Cl 2.51
Si  0.0000  0.5000  0.7211  4 Cl 2.62
Si  0.5000  0.0000  0.2211  4 Cl 2.62
Cl  0.0000  0.0000  0.4988  4 Li 2.51
Cl  0.0000  0.5000  0.2642  4 Si 2.62
Cl  0.5000  0.0000  0.7642  4 Si 2.62
Cl  0.5000  0.5000  0.9988  4 Li 2.51

## Properties
Its density of states at the Fermi level is 0.02 states/eV per atom. The space-group type is Imm2.


b.
DFT (PBE) results for a geometry-optimized LiSiCl2 structure.

abc: 3.3031 3.3763 7.4930
angles: 90.00 101.51 90.00
Closest atoms and distances in Å follow each position.
Atoms (fractional coordinates):
Li  0.0000  0.0000  0.0000  4 Cl 2.48
Si  0.5000  0.0000  0.5000  4 Cl 2.72
Cl  0.3893  0.5000  0.2100  2 Li 2.48, 2 Si 2.72
Cl  0.6107  0.5000  0.7900  2 Li 2.48, 2 Si 2.72

## Properties
Its density of states at the Fermi level is 0.27 states/eV per atom. The space-group type is P2/m.


c.
DFT (PBE) results for a geometry-optimized LiSiCl2 structure.

abc: 6.9261 6.9261 6.9261
angles: 90.00 90.00 90.00
Closest atoms and distances in Å follow each position.
Atoms (fractional coordinates):
Li  0.0000  0.0000  0.0000  4 Cl 3.00, 4 Si 3.00
Li  0.0000  0.5000  0.5000  4 Cl 3.00, 4 Si 3.00
Li  0.5000  0.0000  0.5000  4 Cl 3.00, 4 Si 3.00
Li  0.5000  0.5000  0.0000  4 Cl 3.00, 4 Si 3.00
Si  0.2500  0.2500  0.7500  4 Cl 3.00, 4 Li 3.00
Si  0.2500  0.7500  0.2500  4 Cl 3.00, 4 Li 3.00
Si  0.7500  0.2500  0.2500  4 Cl 3.00, 4 Li 3.00
Si  0.7500  0.7500  0.7500  4 Li 3.00, 4 Cl 3.00
Cl  0.0000  0.0000  0.5000  4 Cl 3.00, 4 Si 3.00
Cl  0.0000  0.5000  0.0000  4 Cl 3.00, 4 Si 3.00
Cl  0.2500  0.2500  0.2500  4 Cl 3.00, 4 Li 3.00
Cl  0.2500  0.7500  0.7500  4 Cl 3.00, 4 Li 3.00
Cl  0.5000  0.0000  0.0000  4 Cl 3.00, 4 Si 3.00
Cl  0.5000  0.5000  0.5000  4 Cl 3.00, 4 Si 3.00
Cl  0.7500  0.2500  0.7500  4 Cl 3.00, 4 Li 3.00
Cl  0.7500  0.7500  0.2500  4 Cl 3.00, 4 Li 3.00

## Properties
Its density of states at the Fermi level is 0.66 states/eV per atom. The space-group type is F-43m.


It is b that is most stable; the runner-up trails by 99 meV per atom.